Entry from OQMD: a relaxed structure of Cu7Ag2 (GGA-PBE).

Results
The energy comes out at -3.4403 eV per atom. The crystal system is orthorhombic. Its formation energy is 0.08 eV per atom.

Lattice parameters (Å, degrees): 4.797 4.797 12.086 90.00 90.00 59.99
Element x y z (fractional)
Cu 0.012 0.663 0.576
Cu 0.012 0.663 0.924
Cu 0.172 0.828 0.750
Cu 0.177 0.325 0.750
Cu 0.325 0.177 0.250
Cu 0.337 0.988 0.576
Cu 0.337 0.988 0.924
Cu 0.663 0.012 0.076
Cu 0.663 0.012 0.424
Cu 0.675 0.823 0.750
Cu 0.823 0.675 0.250
Cu 0.828 0.172 0.250
Cu 0.988 0.337 0.076
Cu 0.988 0.337 0.424
Ag 0.327 0.673 0.118
Ag 0.327 0.673 0.382
Ag 0.673 0.327 0.618
Ag 0.673 0.327 0.882